(1)
A plane-wave DFT calculation with GGA-PBE was carried out for a geometry-optimized K4YTa3O12 structure.

Values from the calculation:
Its space group is Im-3m. Its uncorrected energy is -7.7760 eV/atom. As for the uncorrected formation energy: -2480 meV per atom. The value obtained for the density of states at the Fermi level is 13.31 states/eV per cell.

a b c (Å): 7.1900 7.1900 7.1900
angles (deg): 109.47 109.47 109.47
Fractional positions:
K1 0.5000 0.5000 0.5000
K2 0.0000 0.0000 0.5000
K3 0.5000 0.0000 0.0000
K4 0.0000 0.5000 0.0000
Y1 0.0000 0.0000 0.0000
Ta1 0.5000 0.0000 0.5000
Ta2 0.5000 0.5000 0.0000
Ta3 0.0000 0.5000 0.5000
O1 0.2500 0.5000 0.7500
O2 0.7320 0.0000 0.7320
O3 0.2680 0.0000 0.2680
O4 0.7500 0.5000 0.2500
O5 0.7320 0.7320 0.0000
O6 0.2680 0.2680 0.0000
O7 0.7500 0.2500 0.5000
O8 0.2500 0.7500 0.5000
O9 0.5000 0.2500 0.7500
O10 0.0000 0.7320 0.7320
O11 0.5000 0.7500 0.2500
O12 0.0000 0.2680 0.2680



(2)
A plane-wave DFT calculation with GGA-PBE was carried out for a geometry-optimized NaNpBrO6 structure.

Values from the calculation:
Its space group is P-31c. Its uncorrected energy is -6.3709 eV/atom. As for the uncorrected formation energy: -1295 meV per atom. The value obtained for the density of states at the Fermi level is 0.38 states/eV per cell.

a b c (Å): 5.4552 5.4552 10.3142
angles (deg): 90.00 90.00 120.00
Fractional positions:
Na1 0.0000 0.0000 0.0000
Na2 0.0000 0.0000 0.5000
Np1 0.6667 0.3333 0.2500
Np2 0.3333 0.6667 0.7500
Br1 0.3333 0.6667 0.2500
Br2 0.6667 0.3333 0.7500
O1 0.6298 0.6401 0.1449
O2 0.0103 0.3702 0.1449
O3 0.3702 0.0103 0.6449
O4 0.9897 0.6298 0.8551
O5 0.3599 0.3702 0.3551
O6 0.0103 0.6401 0.3551
O7 0.6401 0.0103 0.8551
O8 0.6298 0.9897 0.3551
O9 0.9897 0.3599 0.6449
O10 0.3599 0.9897 0.1449
O11 0.6401 0.6298 0.6449
O12 0.3702 0.3599 0.8551



(3)
A plane-wave DFT calculation with GGA-PBE was carried out for a geometry-optimized CaCePm structure.

Values from the calculation:
Its space group is P4/nmm. Its uncorrected energy is -4.1629 eV/atom. The value obtained for the density of states at the Fermi level is 11.38 states/eV per cell. The formation energy is 0.066 eV per atom.

a b c (Å): 3.5893 3.5893 15.7566
angles (deg): 90.01 90.01 90.02
Fractional positions:
Ca1 0.1263 0.1263 0.2491
Ca2 0.6268 0.6268 0.0582
Pm1 0.6263 0.6263 0.4314
Pm2 0.1269 0.1269 0.8760
Ce1 0.1265 0.1265 0.5856
Ce2 0.6267 0.6267 0.7219